# 1
A plane-wave DFT calculation with PBE-GGA was carried out for a relaxed structure of ZrBeZn.

Values from the calculation:
**Relative energy among the computed polymorphs**: 75 meV per atom
**Energy of formation from the pure elements**: -0.18 eV per atom
**Total magnetic moment**: 0.000 μB/cell

Unit cell a=5.212 b=5.213 c=4.099 alpha=113.15 beta=66.85 gamma=95.38
Atoms (fractional coordinates):
Be: 0.768 0.597 0.365
Be: 0.910 0.740 0.865
Zn: 0.243 0.069 0.863
Zn: 0.438 0.264 0.363
Zr: 0.339 0.667 0.114
Zr: 0.840 0.168 0.614

# 2
A plane-wave DFT calculation with PBE-GGA was carried out for a relaxed structure of Tm2AlV.

Values from the calculation:
**Relative energy among the computed polymorphs**: 0 meV per atom
**Energy of formation from the pure elements**: -0.06 eV per atom
**Total magnetic moment**: 3.275 μB/cell

Unit cell a=5.017 b=5.017 c=5.017 alpha=60.00 beta=60.00 gamma=60.00
Last column: magnetic moment on the atom in μB.
Atoms (fractional coordinates):
Tm: 0.250 0.250 0.250  0.22
Tm: 0.750 0.750 0.750  0.22
Al: 0.000 0.000 0.000  -0.04
V: 0.500 0.500 0.500  2.44

# 3
A plane-wave DFT calculation with PBE-GGA was carried out for a relaxed structure of DyYFe.

Values from the calculation:
**Relative energy among the computed polymorphs**: 0 meV per atom
**Energy of formation from the pure elements**: 0.06 eV per atom
**Total magnetic moment**: 0.000 μB/cell

Unit cell a=3.334 b=3.334 c=6.845 alpha=104.10 beta=104.10 gamma=90.00
Atoms (fractional coordinates):
Y: 0.041 0.041 0.081
Fe: 0.668 0.668 0.335
Dy: 0.292 0.292 0.583

# 4
A plane-wave DFT calculation with PBE-GGA was carried out for a relaxed structure of Np2ClF8.

Values from the calculation:
**Energy relative to the elements, uncorrected**: -3.08 eV per atom
**Total magnetic moment**: 5.000 μB/cell

Unit cell a=4.437 b=7.535 c=7.535 alpha=58.21 beta=84.52 gamma=84.52
Last column: magnetic moment on the atom in μB.
Atoms (fractional coordinates):
Np: 0.901 0.207 0.207  2.63
Np: 0.099 0.793 0.793  2.63
F: 0.165 0.102 0.528  -0.03
F: 0.165 0.528 0.102  -0.03
F: 0.835 0.898 0.472  -0.03
F: 0.322 0.652 0.652  -0.05
F: 0.835 0.472 0.898  -0.03
F: 0.424 0.166 0.166  -0.02
F: 0.576 0.834 0.834  -0.02
F: 0.678 0.348 0.348  -0.05
Cl: 0.000 0.000 0.000  -0.06

# 5
A plane-wave DFT calculation with PBE-GGA was carried out for a relaxed structure of La4Rh2Br.

Values from the calculation:
**Energy relative to the elements, uncorrected**: -0.91 eV per atom
**Total magnetic moment**: 0.000 μB/cell

Unit cell a=4.202 b=4.202 c=14.715 alpha=81.79 beta=81.79 gamma=60.00
Atoms (fractional coordinates):
Rh: 0.424 0.424 0.728
Rh: 0.576 0.576 0.272
Br: 0.000 0.000 0.000
La: 0.126 0.126 0.622
La: 0.278 0.278 0.165
La: 0.722 0.722 0.835
La: 0.874 0.874 0.378

# 6
A plane-wave DFT calculation with PBE-GGA was carried out for a relaxed structure of BaLiNp2S4.

Values from the calculation:
**Energy relative to the elements, uncorrected**: -1.53 eV per atom
**Total magnetic moment**: 17.751 μB/cell

Unit cell a=4.087 b=7.010 c=13.749 alpha=90.00 beta=90.00 gamma=106.95
Last column: magnetic moment on the atom in μB.
Atoms (fractional coordinates):
Ba: 0.113 0.225 0.750  0.04
Ba: 0.887 0.775 0.250  0.04
Li: 0.843 0.687 0.750  0.01
Li: 0.157 0.313 0.250  0.01
Np: 0.370 0.740 0.556  4.08
Np: 0.630 0.260 0.056  4.08
Np: 0.630 0.260 0.444  4.08
Np: 0.370 0.740 0.944  4.08
S: 0.262 0.524 0.113  -0.07
S: 0.738 0.476 0.613  -0.07
S: 0.738 0.476 0.887  -0.07
S: 0.262 0.524 0.387  -0.07
S: 0.000 0.000 0.500  -0.11
S: 0.000 0.000 0.000  -0.11
S: 0.432 0.865 0.750  -0.06
S: 0.568 0.135 0.250  -0.06

# 7
A plane-wave DFT calculation with PBE-GGA was carried out for a relaxed structure of Sr5Mg4Tl.

Values from the calculation:
**Energy of formation from the pure elements**: -0.13 eV per atom
**Total magnetic moment**: 0.000 μB/cell

Unit cell a=4.162 b=4.162 c=20.850 alpha=90.00 beta=90.00 gamma=90.00
Atoms (fractional coordinates):
Sr: 0.500 0.500 0.095
Sr: 0.500 0.500 0.298
Sr: 0.500 0.500 0.500
Sr: 0.500 0.500 0.702
Sr: 0.500 0.500 0.905
Mg: 0.000 0.000 0.197
Mg: 0.000 0.000 0.400
Mg: 0.000 0.000 0.600
Mg: 0.000 0.000 0.803
Tl: 0.000 0.000 0.000

# 8
A plane-wave DFT calculation with PBE-GGA was carried out for a relaxed structure of Y5Cr3.

Values from the calculation:
**Energy of formation from the pure elements**: 0.36 eV per atom
**Total magnetic moment**: 9.761 μB/cell

Unit cell a=6.446 b=6.446 c=5.030 alpha=90.00 beta=90.00 gamma=104.81
Last column: magnetic moment on the atom in μB.
Atoms (fractional coordinates):
Y: 0.000 0.000 0.000  -0.33
Y: 0.500 0.000 0.000  -0.15
Y: 0.000 0.500 0.000  -0.15
Y: 0.716 0.716 0.500  -0.17
Y: 0.284 0.284 0.500  -0.17
Cr: 0.500 0.500 0.000  3.31
Cr: 0.771 0.229 0.500  3.42
Cr: 0.229 0.771 0.500  3.42

Q: Which value of total magnetic moment does entry 4 give?
A: 5.000 μB/cell

Q: total magnetic moment of number 6 (BaLiNp2S4)?
A: 17.751 μB/cell